# ReRu4 PBE relaxed
# - Distance to the lowest polymorph of the same formula: 66.5 kJ/mol of atoms
# - Formation energy: 0.75 eV per atom
# - D(E_F): 1.28 states/eV per atom
data_ReRu4
_symmetry_space_group_name_H-M 'P 1'
_symmetry_Int_Tables_number 1
_cell_length_a 6.715
_cell_length_b 6.715
_cell_length_c 6.715
_cell_angle_alpha 149.59
_cell_angle_beta 149.59
_cell_angle_gamma 43.55
loop_
_symmetry_equiv_pos_as_xyz
'x,y,z'
loop_
_atom_site_label
_atom_site_type_symbol
_atom_site_fract_x
_atom_site_fract_y
_atom_site_fract_z
Re1 Re 0.000 0.000 0.000
Ru1 Ru 0.250 0.750 0.500
Ru2 Ru 0.403 0.403 0.000
Ru3 Ru 0.597 0.597 0.000
Ru4 Ru 0.750 0.250 0.500

=====

# ReRu2 PBE relaxed
# - Distance to the lowest polymorph of the same formula: 3.8 kJ/mol of atoms
# - Formation energy: -0.04 eV per atom
# - D(E_F): 0.78 states/eV per atom
data_ReRu2
_symmetry_space_group_name_H-M 'P 1'
_symmetry_Int_Tables_number 1
_cell_length_a 7.262
_cell_length_b 7.262
_cell_length_c 4.359
_cell_angle_alpha 90.00
_cell_angle_beta 90.00
_cell_angle_gamma 158.17
loop_
_symmetry_equiv_pos_as_xyz
'x,y,z'
loop_
_atom_site_label
_atom_site_type_symbol
_atom_site_fract_x
_atom_site_fract_y
_atom_site_fract_z
Re1 Re 0.220 0.780 0.750
Re2 Re 0.780 0.220 0.250
Ru1 Ru 0.111 0.889 0.250
Ru2 Ru 0.444 0.556 0.250
Ru3 Ru 0.556 0.444 0.750
Ru4 Ru 0.889 0.111 0.750

=====

# Re3Ru PBE relaxed
# - Formation energy: 0.04 eV per atom
# - D(E_F): 1.01 states/eV per atom
data_Re3Ru
_symmetry_space_group_name_H-M 'P 1'
_symmetry_Int_Tables_number 1
_cell_length_a 4.777
_cell_length_b 4.777
_cell_length_c 2.744
_cell_angle_alpha 90.00
_cell_angle_beta 90.00
_cell_angle_gamma 109.61
loop_
_symmetry_equiv_pos_as_xyz
'x,y,z'
loop_
_atom_site_label
_atom_site_type_symbol
_atom_site_fract_x
_atom_site_fract_y
_atom_site_fract_z
Re1 Re 0.000 0.000 0.000
Re2 Re 0.000 0.500 0.500
Re3 Re 0.500 0.000 0.500
Ru1 Ru 0.500 0.500 0.000

=====

# Re3Ru PBE relaxed
# - Formation energy: 0.37 eV per atom
# - D(E_F): 1.21 states/eV per atom
data_Re3Ru
_symmetry_space_group_name_H-M 'P 1'
_symmetry_Int_Tables_number 1
_cell_length_a 3.249
_cell_length_b 3.249
_cell_length_c 5.676
_cell_angle_alpha 90.00
_cell_angle_beta 90.00
_cell_angle_gamma 90.00
loop_
_symmetry_equiv_pos_as_xyz
'x,y,z'
loop_
_atom_site_label
_atom_site_type_symbol
_atom_site_fract_x
_atom_site_fract_y
_atom_site_fract_z
Re1 Re 0.000 0.000 0.000
Re2 Re 0.500 0.500 0.254
Re3 Re 0.500 0.500 0.746
Ru1 Ru 0.000 0.000 0.500

=====

# Re3Ru2 PBE relaxed
# - Distance to the lowest polymorph of the same formula: 0.0 kJ/mol of atoms
# - Formation energy: -0.07 eV per atom
# - D(E_F): 0.65 states/eV per atom
data_Re3Ru2
_symmetry_space_group_name_H-M 'P 1'
_symmetry_Int_Tables_number 1
_cell_length_a 5.189
_cell_length_b 5.189
_cell_length_c 7.052
_cell_angle_alpha 108.83
_cell_angle_beta 108.83
_cell_angle_gamma 55.09
loop_
_symmetry_equiv_pos_as_xyz
'x,y,z'
loop_
_atom_site_label
_atom_site_type_symbol
_atom_site_fract_x
_atom_site_fract_y
_atom_site_fract_z
Re1 Re 0.029 0.362 0.652
Re2 Re 0.163 0.837 0.750
Re3 Re 0.362 0.029 0.152
Re4 Re 0.638 0.971 0.848
Re5 Re 0.837 0.163 0.250
Re6 Re 0.971 0.638 0.348
Ru1 Ru 0.234 0.564 0.049
Ru2 Ru 0.436 0.766 0.451
Ru3 Ru 0.564 0.234 0.549
Ru4 Ru 0.766 0.436 0.951

=====

# Re2Ru3 PBE relaxed
# - Distance to the lowest polymorph of the same formula: 31.4 kJ/mol of atoms
# - Formation energy: 0.38 eV per atom
# - D(E_F): 1.14 states/eV per atom
data_Re2Ru3
_symmetry_space_group_name_H-M 'P 1'
_symmetry_Int_Tables_number 1
_cell_length_a 9.565
_cell_length_b 5.966
_cell_length_c 11.101
_cell_angle_alpha 59.45
_cell_angle_beta 32.49
_cell_angle_gamma 88.06
loop_
_symmetry_equiv_pos_as_xyz
'x,y,z'
loop_
_atom_site_label
_atom_site_type_symbol
_atom_site_fract_x
_atom_site_fract_y
_atom_site_fract_z
Re1 Re 0.225 0.775 0.359
Re2 Re 0.609 0.891 0.475
Re3 Re 0.775 0.225 0.641
Re4 Re 0.891 0.609 0.025
Ru1 Ru 0.088 0.162 0.600
Ru2 Ru 0.100 0.650 0.088
Ru3 Ru 0.162 0.088 0.150
Ru4 Ru 0.312 0.312 0.688
Ru5 Ru 0.562 0.562 0.938
Ru6 Ru 0.650 0.100 0.162

=====

# Re3Ru2 PBE relaxed
# - Distance to the lowest polymorph of the same formula: 13.0 kJ/mol of atoms
# - Formation energy: 0.07 eV per atom
# - D(E_F): 1.40 states/eV per atom
data_Re3Ru2
_symmetry_space_group_name_H-M 'P 1'
_symmetry_Int_Tables_number 1
_cell_length_a 11.328
_cell_length_b 11.328
_cell_length_c 11.328
_cell_angle_alpha 13.90
_cell_angle_beta 13.90
_cell_angle_gamma 13.90
loop_
_symmetry_equiv_pos_as_xyz
'x,y,z'
loop_
_atom_site_label
_atom_site_type_symbol
_atom_site_fract_x
_atom_site_fract_y
_atom_site_fract_z
Re1 Re 0.000 0.000 0.000
Re2 Re 0.200 0.200 0.200
Re3 Re 0.800 0.800 0.800
Ru1 Ru 0.399 0.399 0.399
Ru2 Ru 0.601 0.601 0.601

=====

# Re4Ru3 PBE relaxed
# - Distance to the lowest polymorph of the same formula: 0.0 kJ/mol of atoms
# - Formation energy: 0.30 eV per atom
# - D(E_F): 0.97 states/eV per atom
data_Re4Ru3
_symmetry_space_group_name_H-M 'P 1'
_symmetry_Int_Tables_number 1
_cell_length_a 4.976
_cell_length_b 4.976
_cell_length_c 4.847
_cell_angle_alpha 90.00
_cell_angle_beta 90.00
_cell_angle_gamma 120.00
loop_
_symmetry_equiv_pos_as_xyz
'x,y,z'
loop_
_atom_site_label
_atom_site_type_symbol
_atom_site_fract_x
_atom_site_fract_y
_atom_site_fract_z
Re1 Re 0.000 0.000 0.243
Re2 Re 0.000 0.000 0.757
Re3 Re 0.333 0.667 0.000
Re4 Re 0.667 0.333 0.000
Ru1 Ru 0.000 0.500 0.500
Ru2 Ru 0.500 0.000 0.500
Ru3 Ru 0.500 0.500 0.500

=====

# Re3Ru4 PBE relaxed
# - Distance to the lowest polymorph of the same formula: 13.3 kJ/mol of atoms
# - Formation energy: 0.41 eV per atom
# - D(E_F): 1.28 states/eV per atom
data_Re3Ru4
_symmetry_space_group_name_H-M 'P 1'
_symmetry_Int_Tables_number 1
_cell_length_a 10.114
_cell_length_b 10.114
_cell_length_c 10.114
_cell_angle_alpha 161.60
_cell_angle_beta 161.60
_cell_angle_gamma 26.14
loop_
_symmetry_equiv_pos_as_xyz
'x,y,z'
loop_
_atom_site_label
_atom_site_type_symbol
_atom_site_fract_x
_atom_site_fract_y
_atom_site_fract_z
Re1 Re 0.000 0.000 0.000
Re2 Re 0.289 0.289 0.000
Re3 Re 0.711 0.711 0.000
Ru1 Ru 0.145 0.145 0.000
Ru2 Ru 0.430 0.430 0.000
Ru3 Ru 0.570 0.570 0.000
Ru4 Ru 0.855 0.855 0.000

=====

# ReRu2 PBE relaxed
# - Distance to the lowest polymorph of the same formula: 92.6 kJ/mol of atoms
# - Formation energy: 0.88 eV per atom
# - D(E_F): 1.11 states/eV per atom
data_ReRu2
_symmetry_space_group_name_H-M 'P 1'
_symmetry_Int_Tables_number 1
_cell_length_a 4.186
_cell_length_b 4.186
_cell_length_c 2.944
_cell_angle_alpha 90.00
_cell_angle_beta 90.00
_cell_angle_gamma 90.00
loop_
_symmetry_equiv_pos_as_xyz
'x,y,z'
loop_
_atom_site_label
_atom_site_type_symbol
_atom_site_fract_x
_atom_site_fract_y
_atom_site_fract_z
Re1 Re 0.000 0.000 0.000
Ru1 Ru 0.000 0.500 0.500
Ru2 Ru 0.500 0.000 0.500

=====

# ReRu2 PBE relaxed
# - Distance to the lowest polymorph of the same formula: 37.3 kJ/mol of atoms
# - Formation energy: 0.31 eV per atom
# - D(E_F): 0.71 states/eV per atom
data_ReRu2
_symmetry_space_group_name_H-M 'P 1'
_symmetry_Int_Tables_number 1
_cell_length_a 4.974
_cell_length_b 4.974
_cell_length_c 4.974
_cell_angle_alpha 104.02
_cell_angle_beta 104.02
_cell_angle_gamma 121.03
loop_
_symmetry_equiv_pos_as_xyz
'x,y,z'
loop_
_atom_site_label
_atom_site_type_symbol
_atom_site_fract_x
_atom_site_fract_y
_atom_site_fract_z
Re1 Re 0.250 0.250 0.000
Re2 Re 0.750 0.750 0.000
Ru1 Ru 0.142 0.642 0.784
Ru2 Ru 0.358 0.142 0.500
Ru3 Ru 0.642 0.858 0.500
Ru4 Ru 0.858 0.358 0.216

=====

# ReRu2 PBE relaxed
# - Distance to the lowest polymorph of the same formula: 0.0 kJ/mol of atoms
# - Formation energy: -0.08 eV per atom
# - D(E_F): 0.80 states/eV per atom
data_ReRu2
_symmetry_space_group_name_H-M 'P 1'
_symmetry_Int_Tables_number 1
_cell_length_a 4.757
_cell_length_b 4.348
_cell_length_c 8.240
_cell_angle_alpha 90.00
_cell_angle_beta 90.00
_cell_angle_gamma 90.00
loop_
_symmetry_equiv_pos_as_xyz
'x,y,z'
loop_
_atom_site_label
_atom_site_type_symbol
_atom_site_fract_x
_atom_site_fract_y
_atom_site_fract_z
Re1 Re 0.170 0.250 0.164
Re2 Re 0.330 0.750 0.664
Re3 Re 0.670 0.250 0.336
Re4 Re 0.830 0.750 0.836
Ru1 Ru 0.164 0.250 0.831
Ru2 Ru 0.166 0.250 0.498
Ru3 Ru 0.334 0.750 0.998
Ru4 Ru 0.336 0.750 0.331
Ru5 Ru 0.664 0.250 0.669
Ru6 Ru 0.666 0.250 0.002
Ru7 Ru 0.834 0.750 0.502
Ru8 Ru 0.836 0.750 0.169

=====

# Re2Ru3 PBE relaxed
# - Distance to the lowest polymorph of the same formula: 45.9 kJ/mol of atoms
# - Formation energy: 0.53 eV per atom
# - D(E_F): 0.92 states/eV per atom
data_Re2Ru3
_symmetry_space_group_name_H-M 'P 1'
_symmetry_Int_Tables_number 1
_cell_length_a 4.183
_cell_length_b 4.183
_cell_length_c 5.317
_cell_angle_alpha 90.00
_cell_angle_beta 90.00
_cell_angle_gamma 120.00
loop_
_symmetry_equiv_pos_as_xyz
'x,y,z'
loop_
_atom_site_label
_atom_site_type_symbol
_atom_site_fract_x
_atom_site_fract_y
_atom_site_fract_z
Re1 Re 0.333 0.667 0.335
Re2 Re 0.667 0.333 0.665
Ru1 Ru 0.000 0.000 0.500
Ru2 Ru 0.333 0.667 0.858
Ru3 Ru 0.667 0.333 0.142

=====

# ReRu5 PBE relaxed
# - Distance to the lowest polymorph of the same formula: 11.5 kJ/mol of atoms
# - Formation energy: 0.08 eV per atom
# - D(E_F): 1.30 states/eV per atom
data_ReRu5
_symmetry_space_group_name_H-M 'P 1'
_symmetry_Int_Tables_number 1
_cell_length_a 6.040
_cell_length_b 6.040
_cell_length_c 3.852
_cell_angle_alpha 90.00
_cell_angle_beta 90.00
_cell_angle_gamma 142.95
loop_
_symmetry_equiv_pos_as_xyz
'x,y,z'
loop_
_atom_site_label
_atom_site_type_symbol
_atom_site_fract_x
_atom_site_fract_y
_atom_site_fract_z
Re1 Re 0.000 0.000 0.000
Ru1 Ru 0.166 0.834 0.500
Ru2 Ru 0.334 0.666 0.000
Ru3 Ru 0.500 0.500 0.500
Ru4 Ru 0.666 0.334 0.000
Ru5 Ru 0.834 0.166 0.500

=====

# ReRu2 PBE relaxed
# - Distance to the lowest polymorph of the same formula: 1.6 kJ/mol of atoms
# - Formation energy: -0.06 eV per atom
# - D(E_F): 0.78 states/eV per atom
data_ReRu2
_symmetry_space_group_name_H-M 'P 1'
_symmetry_Int_Tables_number 1
_cell_length_a 5.149
_cell_length_b 5.149
_cell_length_c 6.454
_cell_angle_alpha 103.20
_cell_angle_beta 103.20
_cell_angle_gamma 30.87
loop_
_symmetry_equiv_pos_as_xyz
'x,y,z'
loop_
_atom_site_label
_atom_site_type_symbol
_atom_site_fract_x
_atom_site_fract_y
_atom_site_fract_z
Re1 Re 0.028 0.028 0.307
Re2 Re 0.972 0.972 0.693
Ru1 Ru 0.305 0.305 0.361
Ru2 Ru 0.361 0.361 0.973
Ru3 Ru 0.639 0.639 0.027
Ru4 Ru 0.695 0.695 0.639

=====

# ReRu2 PBE relaxed
# - Distance to the lowest polymorph of the same formula: 31.4 kJ/mol of atoms
# - Formation energy: 0.25 eV per atom
# - D(E_F): 1.02 states/eV per atom
data_ReRu2
_symmetry_space_group_name_H-M 'P 1'
_symmetry_Int_Tables_number 1
_cell_length_a 11.973
_cell_length_b 11.973
_cell_length_c 11.973
_cell_angle_alpha 166.81
_cell_angle_beta 166.81
_cell_angle_gamma 18.70
loop_
_symmetry_equiv_pos_as_xyz
'x,y,z'
loop_
_atom_site_label
_atom_site_type_symbol
_atom_site_fract_x
_atom_site_fract_y
_atom_site_fract_z
Re1 Re 0.375 0.625 0.750
Re2 Re 0.625 0.375 0.250
Ru1 Ru 0.047 0.797 0.250
Ru2 Ru 0.203 0.953 0.250
Ru3 Ru 0.797 0.047 0.750
Ru4 Ru 0.953 0.203 0.750

=====

# Re3Ru2 PBE relaxed
# - Distance to the lowest polymorph of the same formula: 34.1 kJ/mol of atoms
# - Formation energy: 0.29 eV per atom
# - D(E_F): 0.95 states/eV per atom
data_Re3Ru2
_symmetry_space_group_name_H-M 'P 1'
_symmetry_Int_Tables_number 1
_cell_length_a 7.525
_cell_length_b 4.806
_cell_length_c 7.337
_cell_angle_alpha 73.26
_cell_angle_beta 37.71
_cell_angle_gamma 69.03
loop_
_symmetry_equiv_pos_as_xyz
'x,y,z'
loop_
_atom_site_label
_atom_site_type_symbol
_atom_site_fract_x
_atom_site_fract_y
_atom_site_fract_z
Re1 Re 0.000 0.000 0.000
Re2 Re 0.083 0.766 0.605
Re3 Re 0.250 0.250 0.250
Re4 Re 0.645 0.704 0.167
Re5 Re 0.704 0.645 0.484
Re6 Re 0.766 0.083 0.546
Ru1 Ru 0.206 0.431 0.915
Ru2 Ru 0.335 0.802 0.044
Ru3 Ru 0.431 0.206 0.448
Ru4 Ru 0.802 0.335 0.819

=====

# ReRu2 PBE relaxed
# - Distance to the lowest polymorph of the same formula: 2.5 kJ/mol of atoms
# - Formation energy: -0.05 eV per atom
# - D(E_F): 0.83 states/eV per atom
data_ReRu2
_symmetry_space_group_name_H-M 'P 1'
_symmetry_Int_Tables_number 1
_cell_length_a 4.763
_cell_length_b 4.763
_cell_length_c 5.142
_cell_angle_alpha 117.56
_cell_angle_beta 117.56
_cell_angle_gamma 59.84
loop_
_symmetry_equiv_pos_as_xyz
'x,y,z'
loop_
_atom_site_label
_atom_site_type_symbol
_atom_site_fract_x
_atom_site_fract_y
_atom_site_fract_z
Re1 Re 0.082 0.918 0.750
Re2 Re 0.918 0.082 0.250
Ru1 Ru 0.249 0.414 0.246
Ru2 Ru 0.414 0.249 0.746
Ru3 Ru 0.586 0.751 0.254
Ru4 Ru 0.751 0.586 0.754

=====

# Re5Ru3 PBE relaxed
# - Distance to the lowest polymorph of the same formula: 0.0 kJ/mol of atoms
# - Formation energy: 0.04 eV per atom
# - D(E_F): 1.09 states/eV per atom
data_Re5Ru3
_symmetry_space_group_name_H-M 'P 1'
_symmetry_Int_Tables_number 1
_cell_length_a 5.490
_cell_length_b 5.490
_cell_length_c 3.871
_cell_angle_alpha 90.00
_cell_angle_beta 90.00
_cell_angle_gamma 90.05
loop_
_symmetry_equiv_pos_as_xyz
'x,y,z'
loop_
_atom_site_label
_atom_site_type_symbol
_atom_site_fract_x
_atom_site_fract_y
_atom_site_fract_z
Re1 Re 0.000 0.000 0.000
Re2 Re 0.000 0.500 0.000
Re3 Re 0.253 0.253 0.500
Re4 Re 0.500 0.000 0.000
Re5 Re 0.747 0.747 0.500
Ru1 Ru 0.252 0.748 0.500
Ru2 Ru 0.500 0.500 0.000
Ru3 Ru 0.748 0.252 0.500

=====

# Re3Ru PBE relaxed
# - Formation energy: 0.04 eV per atom
# - D(E_F): 1.10 states/eV per atom
data_Re3Ru
_symmetry_space_group_name_H-M 'P 1'
_symmetry_Int_Tables_number 1
_cell_length_a 3.890
_cell_length_b 3.890
_cell_length_c 3.890
_cell_angle_alpha 90.00
_cell_angle_beta 90.00
_cell_angle_gamma 90.00
loop_
_symmetry_equiv_pos_as_xyz
'x,y,z'
loop_
_atom_site_label
_atom_site_type_symbol
_atom_site_fract_x
_atom_site_fract_y
_atom_site_fract_z
Re1 Re 0.000 0.000 0.500
Re2 Re 0.000 0.500 0.000
Re3 Re 0.500 0.000 0.000
Ru1 Ru 0.500 0.500 0.500